{
  "formula": "LaBSe",
  "functional": "PBE-GGA",
  "state": "relaxed",
  "lattice_angstrom": [[-0.436, -3.545, -2.052], [1.352, -1.991, 3.343], [-7.608, 1.196, 2.177]],
  "species": ["B", "B", "Se", "Se", "La", "La"],
  "fractional_positions": [[0.634, 0.634, 0.562], [0.366, 0.366, 0.438], [0.712, 0.712, 0.832], [0.288, 0.288, 0.168], [0.176, 0.176, 0.708], [0.824, 0.824, 0.292]],
  "magmom_total_mub_per_cell": 0.00,
  "e_form_raw_ev_per_atom": -0.834,
  "dos_ef_per_ev_atom": 0.229,
  "final_energy_ev_per_cell": -35.2
}